Entry 1:
Entry from Alexandria via LeMat-Bulk: a relaxed structure of LiDyTe (PBE). Values from VASP.

Quantum ESPRESSO input file:
```
&SYSTEM
  ibrav = 0, nat = 6, ntyp = 3
/
ATOMIC_SPECIES
Te 127.60 Te.upf
Dy 162.50 Dy.upf
Li 6.94 Li.upf
ATOMIC_POSITIONS crystal
Te 0.088 0.175 0.198
Te 0.912 0.825 0.802
Dy 0.805 0.610 0.377
Li 0.389 0.779 0.103
Dy 0.195 0.390 0.623
Li 0.611 0.221 0.897
CELL_PARAMETERS angstrom
4.118 0.000 0.000
-2.059 3.655 -0.229
0.000 -1.192 11.353
```

Calculated values
Space group ... No. 12
Formation energy without anion corrections ... -706 meV per atom
Fermi-level density of states ... 1.86 states/eV/f.u.
Raw total energy ... -3.925 eV/atom

***

Entry 2:
Entry from Alexandria via LeMat-Bulk: a relaxed structure of ZrTcAs2Pd (PBE). Values from VASP.

Quantum ESPRESSO input file:
```
&SYSTEM
  ibrav = 0, nat = 5, ntyp = 4
/
ATOMIC_SPECIES
As 74.92 As.upf
Tc 98.00 Tc.upf
Pd 106.42 Pd.upf
Zr 91.22 Zr.upf
ATOMIC_POSITIONS crystal
As 0.000 0.000 0.500
Tc 0.500 0.500 0.500
Pd 0.000 0.000 0.000
As 0.500 0.000 0.000
Zr 0.000 0.500 0.000
CELL_PARAMETERS angstrom
-1.990 2.961 -3.128
-2.837 -3.798 -1.790
-3.390 1.048 3.149
```

Calculated values
Space group ... No. 123
Fermi-level density of states ... 5.77 states/eV/f.u.
Raw total energy ... -5.723 eV/atom

***

Entry 3:
Entry from Alexandria via LeMat-Bulk: a relaxed structure of Ho2GaCu3 (PBE). Values from VASP.

Quantum ESPRESSO input file:
```
&SYSTEM
  ibrav = 0, nat = 6, ntyp = 3
/
ATOMIC_SPECIES
Cu 63.55 Cu.upf
Ga 69.72 Ga.upf
Ho 164.93 Ho.upf
ATOMIC_POSITIONS crystal
Cu 0.298 0.798 0.596
Ga 0.460 0.960 0.920
Cu 0.544 0.544 0.087
Ho 0.868 0.368 0.735
Ho 0.129 0.129 0.258
Cu 0.702 0.702 0.405
CELL_PARAMETERS angstrom
-3.242 -1.437 -1.210
1.946 -1.849 -3.018
1.705 -4.472 6.543
```

Calculated values
Space group ... No. 44
Fermi-level density of states ... 3.58 states/eV/f.u.
Raw total energy ... -4.403 eV/atom